12
Lattice="10.690 0.000 0.000 0.000 2.874 0.000 -1.861 0.000 6.480" Properties=species:S:1:pos:R:3 comment="Li2Al, optimized geometry, DFT PBE-GGA" spacegroup="C2/m (12)" total_magnetization_mub_per_fu=0.00 dft_energy_ha_per_atom=-0.0976 pbc="T T T"
Li 1.339 0.000 0.262
Li 0.869 0.000 4.051
Li 2.615 1.437 2.428
Li 2.145 1.437 6.218
Li 6.683 1.437 0.262
Li 6.214 1.437 4.051
Li 7.960 0.000 2.428
Li 7.490 0.000 6.218
Al -0.382 1.437 1.969
Al 3.865 0.000 4.511
Al 4.963 0.000 1.969
Al 9.210 1.437 4.511

24
Lattice="3.677 -6.881 0.000 3.677 6.881 0.000 -1.506 0.000 15.859" Properties=species:S:1:pos:R:3 comment="Rb2AsS3, optimized geometry, DFT PBE-GGA" raw_formation_energy_mev_per_atom=-773 spacegroup="C2/c (15)" relative_energy_mev_per_atom=0 total_magnetization_mub_per_fu=0.00 pbc="T T T"
Rb 1.144 2.656 5.454
Rb 0.468 1.459 14.686
Rb 1.221 -1.459 6.756
Rb 0.391 -2.656 13.384
Rb 5.456 2.656 2.475
Rb 4.626 1.459 9.103
Rb 5.380 -1.459 1.173
Rb 4.703 -2.656 10.405
As 1.633 0.008 2.599
As 0.880 -0.008 10.529
As 4.967 0.008 5.330
As 4.214 -0.008 13.260
S 3.300 6.766 3.965
S 0.979 1.278 8.739
S 2.130 2.102 2.143
S 1.733 -1.278 0.809
S 2.547 1.034 11.895
S 1.377 -2.102 10.072
S 4.470 2.102 5.787
S 3.300 -1.034 3.965
S 4.115 1.278 15.050
S 3.717 -2.102 13.717
S 4.868 -1.278 7.121
S 2.547 -6.766 11.895

16
Lattice="7.132 0.000 0.000 0.000 7.132 0.000 0.000 0.000 7.132" Properties=species:S:1:pos:R:3 comment="LiNpSbAu, optimized geometry, DFT PBE-GGA" raw_formation_energy_mev_per_atom=-317 spacegroup="F-43m (216)" total_magnetization_mub_per_fu=4.02 pbc="T T T"
Li 0.000 0.000 0.000
Li 0.000 3.566 3.566
Li 3.566 0.000 3.566
Li 3.566 3.566 0.000
Np 0.000 0.000 3.566
Np 0.000 3.566 0.000
Np 3.566 0.000 0.000
Np 3.566 3.566 3.566
Sb 1.783 1.783 5.349
Sb 1.783 5.349 1.783
Sb 5.349 1.783 1.783
Sb 5.349 5.349 5.349
Au 1.783 1.783 1.783
Au 1.783 5.349 5.349
Au 5.349 1.783 5.349
Au 5.349 5.349 1.783

8
Lattice="3.880 0.000 0.000 0.000 5.514 0.000 0.000 0.000 11.696" Properties=species:S:1:pos:R:3 comment="Pm3Hg, optimized geometry, DFT PBE-GGA" spacegroup="Immm (71)" relative_energy_mev_per_atom=0 total_magnetization_mub_per_fu=0.00 pbc="T T T"
Pm 0.000 0.000 0.000
Pm 0.000 2.757 2.566
Pm 0.000 2.757 9.130
Pm 1.940 0.000 3.282
Pm 1.940 0.000 8.414
Pm 1.940 2.757 5.848
Hg 0.000 0.000 5.848
Hg 1.940 2.757 0.000

5
Lattice="4.799 0.000 0.000 0.000 4.799 0.000 0.000 0.000 4.284" Properties=species:S:1:pos:R:3 comment="BMoP2Pb, optimized geometry, DFT PBE-GGA" spacegroup="P4/mmm (123)" total_magnetization_mub_per_fu=0.00 dft_energy_ha_per_atom=-0.2141 pbc="T T T"
B 0.000 0.000 0.000
Mo 0.000 0.000 2.142
P 0.000 2.400 2.142
P 2.400 0.000 2.142
Pb 2.400 2.400 0.000

5
Lattice="5.225 0.000 0.000 0.000 5.225 0.000 0.000 0.000 4.217" Properties=species:S:1:pos:R:3 comment="TlSiS2N, optimized geometry, DFT PBE-GGA" raw_formation_energy_mev_per_atom=1452 spacegroup="P4/mmm (123)" relative_energy_mev_per_atom=1280 total_magnetization_mub_per_fu=1.91 pbc="T T T"
Tl 0.000 0.000 0.000
Si 2.612 2.612 2.109
S 0.000 2.612 0.000
S 2.612 0.000 0.000
N 0.000 0.000 2.109